Computed, not measured: crystalline BaTcTe2I at its relaxed geometry at the PBE-GGA level of DFT.

Results
As for the total energy: -3.1554 eV per atom. The mass density is 3.69 Mg/m³. The density of states at the Fermi level is 8.13 states/eV per cell. Its uncorrected formation energy is 0.87 eV per atom. Its magnetic moment is 0.833 μB per atom. The energy relative to the lowest polymorph listed for this composition is 1.2981 eV/atom. The space group is P4/mmm.

a b c (Å): 6.5480 6.5480 6.4717
angles (deg): 90.00 90.00 90.00
Closest atoms and distances in Å follow each position.
Atoms (fractional coordinates):
I 0.0000 0.0000 0.5000  2 Ba 3.24
Te 0.0000 0.5000 0.0000  2 Ba 3.27
Te 0.5000 0.0000 0.0000  2 Ba 3.27
Ba 0.0000 0.0000 0.0000  2 I 3.24, 4 Te 3.27
Tc 0.5000 0.5000 0.5000  8 Te 4.60, 4 I 4.63